HfSnSbTe2 | PBE-GGA | optimized geometry

Cell lengths 5.5254, 5.5254, 5.5294 Å; angles 90.00, 90.00, 90.00 degrees
Closest atoms and distances in Å follow each position.
Space group P4/mmm (No. 123)
Asymmetric unit:
Hf (0.0000, 0.0000, 0.0000) (multiplicity 1)  4 Sb 3.91, 8 Te 3.91
Sn (0.5000, 0.5000, 0.5000) (multiplicity 1)  4 Te 2.76, 2 Sb 2.76
Sb (0.5000, 0.5000, 0.0000) (multiplicity 1)  2 Sn 2.76
Te (0.0000, 0.5000, 0.5000) (multiplicity 2)  2 Sn 2.76

Properties
D(E_F) = 0.603 states/eV/atom
volume = 33.762 A^3/atom
polymorph energy (0 for the lowest one) = 818 meV/atom
formation energy from raw total energies = 0.87 eV per atom

---

LiSiB | PBE-GGA | optimized geometry

Cell lengths 3.5666, 4.2747, 4.9753 Å; angles 93.38, 110.97, 90.16 degrees
Closest atoms and distances in Å follow each position.
Space group P1 (No. 1)
Asymmetric unit:
Li (0.0000, 0.0000, 0.0000) (multiplicity 1)  4 B 2.27-2.47, 3 Si 2.46-2.52
Li (0.2828, 0.0004, 0.5638) (multiplicity 1)  3 B 2.30-2.45, 2 Si 2.53
Si (0.6318, 0.7154, 0.2632) (multiplicity 1)  3 B 2.02-2.25
Si (0.8408, 0.4340, 0.6768) (multiplicity 1)  3 B 2.14-2.16, 1 Si 2.33
B (0.4686, 0.3863, 0.9310) (multiplicity 1)  1 B 1.79
B (0.6306, 0.1896, 0.2588) (multiplicity 1)  1 B 1.79

Properties
D(E_F) = 0.272 states/eV/atom
volume = 11.780 A^3/atom
formation energy from raw total energies = 0.09 eV per atom